DFT (PBE) results for crystalline Na2ScCd2 at its relaxed geometry.

Its electronic total energy is -2.079 eV/atom. The energy above the most stable polymorph in this dataset comes out at 0.0 meV/atom. As for the density of states at the Fermi level: 0.647 states/eV per atom.

POSCAR file:
```
Na2ScCd2
1.0
-2.036 2.036 7.629
2.036 -2.036 7.629
2.036 2.036 -7.629
Na Sc Cd
2 1 2
Direct
0.250 0.750 0.500 Na
0.750 0.250 0.500 Na
0.000 0.000 0.000 Sc
0.407 0.407 0.000 Cd
0.593 0.593 0.000 Cd
```

DFT (PBE) results for crystalline Sn2H2Rh5 at its relaxed geometry.

Its electronic total energy is -5.945 eV/atom. As for the density of states at the Fermi level: 0.882 states/eV per atom.

POSCAR file:
```
Sn2H2Rh5
1.0
3.991 0.000 0.000
0.000 3.991 0.000
0.000 0.000 7.695
Sn H Rh
2 2 5
Direct
0.000 0.000 0.000 Sn
0.000 0.000 0.500 Sn
0.500 0.500 0.227 H
0.500 0.500 0.773 H
0.000 0.500 0.244 Rh
0.000 0.500 0.756 Rh
0.500 0.000 0.244 Rh
0.500 0.000 0.756 Rh
0.500 0.500 0.500 Rh
```

DFT (PBE) results for crystalline Sc3AlTl2 at its relaxed geometry.

Its electronic total energy is -4.880 eV/atom. As for the density of states at the Fermi level: 0.649 states/eV per atom.

POSCAR file:
```
Sc3AlTl2
1.0
3.346 0.000 0.000
0.000 3.346 0.000
0.000 0.000 11.834
Sc Al Tl
3 1 2
Direct
0.000 0.000 0.000 Sc
0.000 0.000 0.348 Sc
0.000 0.000 0.652 Sc
0.500 0.500 0.500 Al
0.500 0.500 0.172 Tl
0.500 0.500 0.828 Tl
```